[1]
{"formula": "AcLa5Ag6", "functional": "PBE", "state": "optimized geometry", "lattice_angstrom": [[2.740, -8.209, 0.000], [2.740, 8.209, 0.000], [0.000, 0.000, 7.609]], "species": ["Ac", "La", "La", "La", "La", "La", "Ag", "Ag", "Ag", "Ag", "Ag", "Ag"], "fractional_positions": [[0.000, 0.000, 0.000], [0.000, 0.000, 0.500], [0.333, 0.667, 0.500], [0.334, 0.666, 0.000], [0.666, 0.334, 0.000], [0.667, 0.333, 0.500], [0.170, 0.830, 0.253], [0.170, 0.830, 0.747], [0.500, 0.500, 0.260], [0.500, 0.500, 0.740], [0.830, 0.170, 0.253], [0.830, 0.170, 0.747]], "sg": "Cmmm, No. 65", "rho_kg_m3": 7612, "m_tot_mub_per_fu": 0.0}

=====

[2]
{"formula": "AcLa3Ag", "functional": "PBE", "state": "optimized geometry", "lattice_angstrom": [[5.397, 0.000, 0.000], [0.000, 7.420, 0.000], [-2.697, 0.000, 8.601]], "species": ["Ac", "Ac", "La", "La", "La", "La", "La", "La", "Ag", "Ag"], "fractional_positions": [[0.013, 0.250, 0.025], [0.987, 0.750, 0.975], [0.211, 0.750, 0.422], [0.388, 0.006, 0.776], [0.388, 0.494, 0.776], [0.612, 0.506, 0.224], [0.612, 0.994, 0.224], [0.789, 0.250, 0.578], [0.202, 0.250, 0.404], [0.798, 0.750, 0.596]], "sg": "P2_1/m, No. 11", "rho_kg_m3": 7246, "m_tot_mub_per_fu": 0.0}

=====

[3]
{"formula": "Ac2La6Ag", "functional": "PBE", "state": "optimized geometry", "lattice_angstrom": [[3.950, 0.000, 0.000], [0.000, 8.589, 4.967], [0.000, -8.589, 4.967]], "species": ["Ac", "Ac", "La", "La", "La", "La", "La", "La", "Ag"], "fractional_positions": [[0.000, 0.167, 0.833], [0.000, 0.833, 0.167], [0.000, 0.246, 0.499], [0.000, 0.499, 0.246], [0.000, 0.755, 0.755], [0.500, 0.118, 0.118], [0.500, 0.500, 0.882], [0.500, 0.882, 0.500], [0.500, 0.501, 0.501]], "sg": "Amm2, No. 38", "rho_kg_m3": 6875, "m_tot_mub_per_fu": 0.0}

=====

[4]
{"formula": "AcLaAg2", "functional": "PBE", "state": "optimized geometry", "lattice_angstrom": [[3.904, 0.000, 0.000], [0.000, 3.904, 0.000], [0.000, 0.000, 7.736]], "species": ["Ac", "La", "Ag", "Ag"], "fractional_positions": [[0.000, 0.000, 0.000], [0.000, 0.000, 0.500], [0.500, 0.500, 0.265], [0.500, 0.500, 0.735]], "sg": "P4/mmm, No. 123", "rho_kg_m3": 8192, "m_tot_mub_per_fu": 0.0}

=====

Record order is preserved below.
Energy of formation from the pure elements: -3.1, -0.2, -0.2, -1.0 eV/f.u.